# ZrMnSbO6

Crystalline ZrMnSbO6 at its relaxed geometry (GGA+U, Alexandria).

The structure in CIF format:
```
data_ZrMnSbO6
_chemical_formula_sum 'Zr2 Mn2 Sb2 O12'
_symmetry_space_group_name_H-M 'P -3 1 c'
_symmetry_Int_Tables_number 163
_symmetry_space_group_name_Hall '-P 3 2c'
_cell_length_a 5.3528
_cell_length_b 5.3528
_cell_length_c 8.8748
_cell_angle_alpha 90.00
_cell_angle_beta 90.00
_cell_angle_gamma 120.00
loop_
_atom_site_label
_atom_site_fract_x
_atom_site_fract_y
_atom_site_fract_z
_atom_site_occupancy
Zr1 0.3333 0.6667 0.2500 1
Mn1 0.0000 0.0000 0.0000 1
Sb1 0.3333 0.6667 0.7500 1
O1 0.0152 0.3464 0.6286 1
```

Calculated values
Uncorrected energy in Ha/atom: -0.27358
M_tot in μB per cell: 7.98